DFT (GGA+U) results for a relaxed VCdTcO6 crystal.

Summary:
VASP energy, eV per cell: -122.8
Magnetization, μB per formula unit: 2.003

a = 5.1393 Å, b = 5.1393 Å, c = 9.6776 Å
α = 90.00°, β = 90.00°, γ = 120.00°
Last column: nearest neighbours and their distance in Å.
Atoms (fractional coordinates):
V  0.3333  0.6667  0.2500  6 O 1.91
V  0.6667  0.3333  0.7500  6 O 1.91
Cd  0.0000  0.0000  0.0000  6 O 2.35
Cd  0.0000  0.0000  0.5000  6 O 2.35
Tc  0.3333  0.6667  0.7500  6 O 1.96
Tc  0.6667  0.3333  0.2500  6 O 1.96
O  0.0067  0.3743  0.1414  1 V 1.91, 1 Tc 1.96
O  0.0067  0.6324  0.3586  1 V 1.91, 1 Tc 1.96
O  0.3676  0.3743  0.3586  1 V 1.91, 1 Tc 1.96
O  0.3676  0.9933  0.1414  1 V 1.91, 1 Tc 1.96
O  0.3743  0.0067  0.6414  1 V 1.91, 1 Tc 1.96
O  0.3743  0.3676  0.8586  1 V 1.91, 1 Tc 1.96
O  0.6257  0.6324  0.1414  1 V 1.91, 1 Tc 1.96
O  0.6257  0.9933  0.3586  1 V 1.91, 1 Tc 1.96
O  0.6324  0.0067  0.8586  1 V 1.91, 1 Tc 1.96
O  0.6324  0.6257  0.6414  1 V 1.91, 1 Tc 1.96
O  0.9933  0.3676  0.6414  1 V 1.91, 1 Tc 1.96
O  0.9933  0.6257  0.8586  1 V 1.91, 1 Tc 1.96